# BaIn2WBr

A crystal of BaIn2WBr relaxed with PBEsol (meta-GGA SCAN, the Alexandria database).

Unit cell a=5.2761 b=5.2761 c=5.2155 alpha=90.00 beta=90.00 gamma=90.00
Fractional coordinates of all 5 atoms:
Br  0.0000  0.0000  0.5000
Ba  0.5000  0.5000  0.5000
W  0.0000  0.0000  0.0000
In  0.0000  0.5000  0.0000
In  0.5000  0.0000  0.0000

Calculated values
The uncorrected formation energy is 11.6 kJ/mol of atoms. Its space-group type is No. 123.

# HfTl3Pd

A crystal of HfTl3Pd relaxed with PBEsol (meta-GGA SCAN, the Alexandria database).

Unit cell a=5.4197 b=5.4197 c=5.4197 alpha=90.00 beta=90.00 gamma=90.00
Fractional coordinates of all 5 atoms:
Tl  0.0000  0.5000  0.0000
Tl  0.0000  0.0000  0.5000
Tl  0.5000  0.0000  0.0000
Hf  0.0000  0.0000  0.0000
Pd  0.5000  0.5000  0.5000

Calculated values
Its space-group type is No. 221.

# CoRePdI2

A crystal of CoRePdI2 relaxed with PBEsol (meta-GGA SCAN, the Alexandria database).

Unit cell a=4.4611 b=4.9482 c=4.9482 alpha=90.00 beta=90.00 gamma=90.00
Each line ends with the local moment (μB).
Fractional coordinates of all 5 atoms:
I  0.0000  0.0000  0.5000  0.05
I  0.0000  0.5000  0.0000  0.05
Re  0.5000  0.0000  0.0000  1.70
Co  0.0000  0.0000  0.0000  -0.02
Pd  0.5000  0.5000  0.5000  0.29

Calculated values
The uncorrected formation energy is 149.1 kJ/mol of atoms. Its space-group type is No. 123.

# La2PtAu

A crystal of La2PtAu relaxed with PBEsol (meta-GGA SCAN, the Alexandria database).

Unit cell a=3.6465 b=3.6471 c=7.3396 alpha=90.00 beta=89.94 gamma=90.00
Fractional coordinates of all 4 atoms:
Au  0.5000  0.5000  0.5000
Pt  0.5000  0.5000  0.0000
La  0.9990  0.0000  0.7629
La  0.0010  0.0000  0.2371

Calculated values
Its space-group type is No. 10.

# LaMgAg2

A crystal of LaMgAg2 relaxed with PBEsol (meta-GGA SCAN, the Alexandria database).

Unit cell a=3.3664 b=3.3664 c=7.6048 alpha=90.00 beta=90.00 gamma=90.00
Fractional coordinates of all 4 atoms:
Mg  0.5000  0.5000  0.5000
Ag  0.0000  0.0000  0.7056
Ag  0.0000  0.0000  0.2944
La  0.5000  0.5000  0.0000

Calculated values
Its space-group type is No. 123.

# Cd2AgAu

A crystal of Cd2AgAu relaxed with PBEsol (meta-GGA SCAN, the Alexandria database).

Unit cell a=2.9907 b=2.9907 c=8.1700 alpha=90.00 beta=90.00 gamma=90.00
Fractional coordinates of all 4 atoms:
Au  0.5000  0.5000  0.7437
Ag  0.0000  0.0000  0.5068
Cd  0.0000  0.0000  0.9869
Cd  0.5000  0.5000  0.2627

Calculated values
As for the distance to the lowest polymorph of the same formula: 0.0976 eV/atom. Its space-group type is No. 99.

# YGaPd

A crystal of YGaPd relaxed with PBEsol (meta-GGA SCAN, the Alexandria database).

Unit cell a=4.4181 b=6.8668 c=7.5059 alpha=90.00 beta=90.00 gamma=90.00
Fractional coordinates of all 12 atoms:
Y  0.2500  0.5155  0.1988
Y  0.7500  0.9845  0.6988
Y  0.2500  0.0155  0.3012
Y  0.7500  0.4845  0.8012
Ga  0.7500  0.8221  0.0779
Ga  0.2500  0.6779  0.5779
Ga  0.7500  0.3221  0.4221
Ga  0.2500  0.1779  0.9221
Pd  0.7500  0.2143  0.0942
Pd  0.2500  0.7857  0.9058
Pd  0.7500  0.7143  0.4058
Pd  0.2500  0.2857  0.5942

Calculated values
Its space-group type is No. 62.

# La4BrCl3O4

A crystal of La4BrCl3O4 relaxed with PBEsol (meta-GGA SCAN, the Alexandria database).

Unit cell a=4.0779 b=4.0779 c=13.9609 alpha=90.00 beta=90.00 gamma=90.00
Fractional coordinates of all 12 atoms:
La  0.0000  0.0000  0.0816
La  0.0000  0.0000  0.5930
La  0.5000  0.5000  0.4203
La  0.5000  0.5000  0.9094
Br  0.0000  0.0000  0.3148
Cl  0.0000  0.0000  0.8139
Cl  0.5000  0.5000  0.1779
Cl  0.5000  0.5000  0.6864
O  0.5000  0.0000  0.9951
O  0.5000  0.0000  0.5062
O  0.0000  0.5000  0.9951
O  0.0000  0.5000  0.5062

Calculated values
The uncorrected formation energy is -334.0 kJ/mol of atoms. Its space-group type is No. 99.

# LiTeRu2

A crystal of LiTeRu2 relaxed with PBEsol (meta-GGA SCAN, the Alexandria database).

Unit cell a=2.9333 b=2.9333 c=7.8447 alpha=90.00 beta=90.00 gamma=90.00
Fractional coordinates of all 4 atoms:
Li  0.5000  0.5000  0.7878
Ru  0.0000  0.0000  0.0243
Ru  0.5000  0.5000  0.2132
Te  0.0000  0.0000  0.4747

Calculated values
The uncorrected formation energy is 25.7 kJ/mol of atoms. Its space-group type is No. 99.

# LaAlH6

A crystal of LaAlH6 relaxed with PBEsol (meta-GGA SCAN, the Alexandria database).

Unit cell a=4.2291 b=4.2291 c=4.2291 alpha=98.03 beta=98.03 gamma=98.03
Fractional coordinates of all 8 atoms:
H  0.9403  0.2988  0.2988
H  0.2988  0.9403  0.2988
H  0.2988  0.2988  0.9403
H  0.0597  0.7012  0.7012
H  0.7012  0.0597  0.7012
H  0.7012  0.7012  0.0597
Al  0.0000  0.0000  0.0000
La  0.5000  0.5000  0.5000

Calculated values
Its space-group type is No. 166.

# CaHf2C

A crystal of CaHf2C relaxed with PBEsol (meta-GGA SCAN, the Alexandria database).

Unit cell a=6.7235 b=6.7235 c=6.7235 alpha=60.00 beta=60.00 gamma=60.00
Fractional coordinates of all 8 atoms:
Ca  0.7500  0.7500  0.7500
Ca  0.5000  0.5000  0.5000
Hf  0.1250  0.1250  0.6250
Hf  0.1250  0.1250  0.1250
Hf  0.6250  0.1250  0.1250
Hf  0.1250  0.6250  0.1250
C  0.2500  0.2500  0.2500
C  0.0000  0.0000  0.0000

Calculated values
Its space-group type is No. 227.

# ScSnW3

A crystal of ScSnW3 relaxed with PBEsol (meta-GGA SCAN, the Alexandria database).

Unit cell a=4.8449 b=4.8449 c=4.8449 alpha=90.00 beta=90.00 gamma=90.00
Fractional coordinates of all 5 atoms:
Sc  0.5000  0.5000  0.5000
Sn  0.0000  0.0000  0.0000
W  0.0000  0.5000  0.0000
W  0.0000  0.0000  0.5000
W  0.5000  0.0000  0.0000

Calculated values
As for the distance to the lowest polymorph of the same formula: 0.0000 eV/atom. Its space-group type is No. 221.

# Ge3SI

A crystal of Ge3SI relaxed with PBEsol (meta-GGA SCAN, the Alexandria database).

Unit cell a=5.3635 b=5.3635 c=5.3635 alpha=90.00 beta=90.00 gamma=90.00
Fractional coordinates of all 5 atoms:
I  0.0000  0.0000  0.0000
Ge  0.0000  0.5000  0.0000
Ge  0.0000  0.0000  0.5000
Ge  0.5000  0.0000  0.0000
S  0.5000  0.5000  0.5000

Calculated values
The uncorrected formation energy is 149.5 kJ/mol of atoms. As for the distance to the lowest polymorph of the same formula: 0.8530 eV/atom. Its space-group type is No. 221.

# InNiAu2

A crystal of InNiAu2 relaxed with PBEsol (meta-GGA SCAN, the Alexandria database).

Unit cell a=4.0130 b=4.0018 c=4.0018 alpha=90.00 beta=90.00 gamma=90.00
Fractional coordinates of all 4 atoms:
Ni  0.5000  0.0000  0.0000
Au  0.0000  0.0000  0.5000
Au  0.0000  0.5000  0.0000
In  0.5000  0.5000  0.5000

Calculated values
Its space-group type is No. 123.

# LaTl2Cd

A crystal of LaTl2Cd relaxed with PBEsol (meta-GGA SCAN, the Alexandria database).

Unit cell a=4.6488 b=4.7716 c=4.7716 alpha=90.00 beta=90.00 gamma=90.00
Fractional coordinates of all 4 atoms:
Tl  0.0000  0.0000  0.5000
Tl  0.0000  0.5000  0.0000
La  0.5000  0.0000  0.0000
Cd  0.5000  0.5000  0.5000

Calculated values
Its space-group type is No. 123.

# LiTi2Ag

A crystal of LiTi2Ag relaxed with PBEsol (meta-GGA SCAN, the Alexandria database).

Unit cell a=4.8895 b=5.7188 c=5.7188 alpha=79.47 beta=64.69 gamma=64.69
Fractional coordinates of all 8 atoms:
Li  0.5000  0.0000  0.0000
Li  0.2500  0.5000  0.5000
Ag  0.0000  0.0000  0.0000
Ag  0.7500  0.5000  0.5000
Ti  0.8750  0.9984  0.5016
Ti  0.3750  0.0016  0.4984
Ti  0.6234  0.5016  0.0016
Ti  0.1266  0.4984  0.9984

Calculated values
Its space-group type is No. 122.

# Rb2InAgF6

A crystal of Rb2InAgF6 relaxed with PBEsol (meta-GGA SCAN, the Alexandria database).

Unit cell a=6.2849 b=6.2849 c=6.2849 alpha=60.00 beta=60.00 gamma=60.00
Fractional coordinates of all 10 atoms:
Rb  0.2500  0.2500  0.2500
Rb  0.7500  0.7500  0.7500
In  0.0000  0.0000  0.0000
Ag  0.5000  0.5000  0.5000
F  0.7657  0.7657  0.2343
F  0.2343  0.7657  0.7657
F  0.2343  0.2343  0.7657
F  0.7657  0.2343  0.7657
F  0.2343  0.7657  0.2343
F  0.7657  0.2343  0.2343

Calculated values
The uncorrected formation energy is -245.3 kJ/mol of atoms. Its space-group type is No. 225.

# SmErZn2

A crystal of SmErZn2 relaxed with PBEsol (meta-GGA SCAN, the Alexandria database).

Unit cell a=4.9779 b=4.9779 c=4.9779 alpha=60.00 beta=60.00 gamma=60.00
Fractional coordinates of all 4 atoms:
Zn  0.2500  0.2500  0.2500
Zn  0.7500  0.7500  0.7500
Sm  0.0000  0.0000  0.0000
Er  0.5000  0.5000  0.5000

Calculated values
Its space-group type is No. 225.

# ZnCuAg

A crystal of ZnCuAg relaxed with PBEsol (meta-GGA SCAN, the Alexandria database).

Unit cell a=2.7364 b=4.2003 c=4.2003 alpha=120.00 beta=90.00 gamma=90.00
Fractional coordinates of all 3 atoms:
Zn  0.4908  0.3333  0.6667
Ag  0.0006  0.0000  0.0000
Cu  0.5087  0.6667  0.3333

Calculated values
As for the distance to the lowest polymorph of the same formula: 0.0241 eV/atom. Its space-group type is No. 156.

# TlAsRuBr2

A crystal of TlAsRuBr2 relaxed with PBEsol (meta-GGA SCAN, the Alexandria database).

Unit cell a=4.5774 b=5.2697 c=5.2697 alpha=90.00 beta=90.00 gamma=90.00
Fractional coordinates of all 5 atoms:
Ru  0.0000  0.0000  0.0000
Tl  0.5000  0.5000  0.5000
As  0.5000  0.0000  0.0000
Br  0.0000  0.0000  0.5000
Br  0.0000  0.5000  0.0000

Calculated values
The uncorrected formation energy is -5.2 kJ/mol of atoms. Its space-group type is No. 123.

# Sc2BeTe

A crystal of Sc2BeTe relaxed with PBEsol (meta-GGA SCAN, the Alexandria database).

Unit cell a=3.8172 b=3.8172 c=5.7226 alpha=90.00 beta=90.00 gamma=90.00
Each line ends with the local moment (μB).
Fractional coordinates of all 4 atoms:
Sc  0.0000  0.0000  0.9468  -0.01
Sc  0.5000  0.5000  0.2736  -0.12
Be  0.5000  0.5000  0.8247  -0.04
Te  0.0000  0.0000  0.4548  0.01

Calculated values
The uncorrected formation energy is -32.4 kJ/mol of atoms. As for the distance to the lowest polymorph of the same formula: 0.2112 eV/atom. Its space-group type is No. 99.

# TaTlBr2

A crystal of TaTlBr2 relaxed with PBEsol (meta-GGA SCAN, the Alexandria database).

Unit cell a=3.3613 b=3.3613 c=9.4227 alpha=79.73 beta=79.73 gamma=60.00
Fractional coordinates of all 4 atoms:
Tl  0.2458  0.2458  0.2625
Br  0.9904  0.9904  0.0287
Br  0.7669  0.7669  0.6992
Ta  0.4968  0.4968  0.5095

Calculated values
The uncorrected formation energy is -6.8 kJ/mol of atoms. Its space-group type is No. 160.

# SiMoSe2

A crystal of SiMoSe2 relaxed with PBEsol (meta-GGA SCAN, the Alexandria database).

Unit cell a=3.0445 b=4.6099 c=4.6099 alpha=90.00 beta=90.00 gamma=90.00
Fractional coordinates of all 4 atoms:
Mo  0.5000  0.0000  0.0000
Se  0.0000  0.0000  0.5000
Se  0.0000  0.5000  0.0000
Si  0.5000  0.5000  0.5000

Calculated values
The uncorrected formation energy is 57.9 kJ/mol of atoms. Its space-group type is No. 123.

# MgAg

A crystal of MgAg relaxed with PBEsol (meta-GGA SCAN, the Alexandria database).

Unit cell a=4.3083 b=4.3083 c=4.3083 alpha=60.00 beta=60.00 gamma=60.00
Fractional coordinates of all 2 atoms:
Mg  0.7500  0.7500  0.7500
Ag  0.0000  0.0000  0.0000

Calculated values
Its space-group type is No. 216.

# Tl2AgRu

A crystal of Tl2AgRu relaxed with PBEsol (meta-GGA SCAN, the Alexandria database).

Unit cell a=3.0800 b=3.0800 c=9.8957 alpha=81.05 beta=81.05 gamma=60.00
Each line ends with the local moment (μB).
Fractional coordinates of all 4 atoms:
Ag  0.5080  0.5080  0.4760  0.03
Ru  0.2471  0.2471  0.2587  1.54
Tl  0.9888  0.9888  0.0337  -0.01
Tl  0.7561  0.7561  0.7316  0.02

Calculated values
As for the distance to the lowest polymorph of the same formula: 0.1818 eV/atom. Its space-group type is No. 160.

# Sr2LaZnO

A crystal of Sr2LaZnO relaxed with PBEsol (meta-GGA SCAN, the Alexandria database).

Unit cell a=5.1310 b=6.4466 c=6.4466 alpha=90.00 beta=90.00 gamma=90.00
Each line ends with the local moment (μB).
Fractional coordinates of all 5 atoms:
Sr  0.0000  0.0000  0.5000  0.18
Sr  0.0000  0.5000  0.0000  0.18
Zn  0.5000  0.0000  0.0000  0.09
O  0.5000  0.5000  0.5000  0.90
La  0.0000  0.0000  0.0000  0.84

Calculated values
The uncorrected formation energy is 93.6 kJ/mol of atoms. Its space-group type is No. 123.

# FeCo2GeI

A crystal of FeCo2GeI relaxed with PBEsol (meta-GGA SCAN, the Alexandria database).

Unit cell a=4.3977 b=4.3977 c=4.7114 alpha=90.00 beta=90.00 gamma=90.00
Each line ends with the local moment (μB).
Fractional coordinates of all 5 atoms:
I  0.0000  0.0000  0.5000  0.02
Ge  0.5000  0.5000  0.5000  -0.06
Co  0.0000  0.5000  0.0000  1.88
Co  0.5000  0.0000  0.0000  1.88
Fe  0.0000  0.0000  0.0000  1.79

Calculated values
The uncorrected formation energy is 121.1 kJ/mol of atoms. Its space-group type is No. 123.

# ReAgW

A crystal of ReAgW relaxed with PBEsol (meta-GGA SCAN, the Alexandria database).

Unit cell a=2.7778 b=2.7778 c=6.3855 alpha=102.56 beta=102.56 gamma=90.00
Fractional coordinates of all 3 atoms:
Re  0.6735  0.6735  0.3470
W  0.3254  0.3254  0.6509
Ag  0.0010  0.0010  0.0021

Calculated values
Its space-group type is No. 107.

What are the raw total energy values for these records? In order: -194.87; -308.15; -186.93; -230.05; -111.83; -161.68; -320.35; -282.28; -108.23; -75.10; -287.73; -247.37; -95.89; -188.17; -220.01; -128.17; -152.89; -123.42; -60.00; -166.56; -71.42; -178.14; -82.66; -35.37; -208.56; -102.55; -102.29; -170.04 eV/cell.
What are the ρ values for these records? In order: 7.2; 9.4; 9.2; 11.4; 7.3; 12.0; 7.7; 5.8; 8.3; 3.9; 6.3; 10.4; 4.1; 14.7; 10.4; 5.4; 4.8; 8.5; 9.4; 7.1; 4.5; 10.0; 7.2; 3.9; 12.8; 3.1; 6.8; 16.9 g cm⁻³.